No. 1
First-principles (PBE) data for an optimized crystal structure of Li2TiInGa, as listed in the Alexandria database.

Calculated values
E_form	0.708	eV per atom
crystal system	tetragonal

Unit cell a=5.068 b=5.068 c=5.013 alpha=90.00 beta=90.00 gamma=90.00
Space group P4/mmm (No. 123)
Symmetry-distinct sites (fractional):
Li 0.000 0.500 0.000 (multiplicity 2)
Ti 0.000 0.000 0.000 (multiplicity 1)
In 0.500 0.500 0.500 (multiplicity 1)
Ga 0.000 0.000 0.500 (multiplicity 1)

No. 2
First-principles (PBE) data for an optimized crystal structure of Ba2HgBr, as listed in the Alexandria database.

Calculated values
crystal system	trigonal
E above lowest polymorph	298	meV per atom

Unit cell a=4.6351 b=4.6351 c=32.9398 alpha=90.00 beta=90.00 gamma=120.00
Space group R3m (No. 160, hexagonal axes)
Symmetry-distinct sites (fractional):
Ba 0.0000 0.0000 0.0000 (multiplicity 3)
Ba 0.0000 0.0000 0.2186 (multiplicity 3)
Hg 0.0000 0.0000 0.4828 (multiplicity 3)
Br 0.0000 0.0000 0.7231 (multiplicity 3)

No. 3
First-principles (PBE) data for an optimized crystal structure of TiCrSbTe2, as listed in the Alexandria database.

Calculated values
crystal system	tetragonal
E above lowest polymorph	0	meV per atom

Unit cell a=5.317 b=5.317 c=5.285 alpha=90.00 beta=90.00 gamma=90.00
Space group P4/mmm (No. 123)
Symmetry-distinct sites (fractional):
Ti 0.000 0.000 0.000 (multiplicity 1)
Cr 0.500 0.500 0.500 (multiplicity 1)
Sb 0.000 0.000 0.500 (multiplicity 1)
Te 0.000 0.500 0.000 (multiplicity 2)

Number 1: ρ 3.18 g/cm3, electronic total energy -2.79 eV/atom. Number 2: ρ 4.51 g/cm3, electronic total energy -2.19 eV/atom. Number 3: ρ 5.30 g/cm3, electronic total energy -5.20 eV/atom.